No. 1
! LuPu2Cd, optimized geometry, DFT PBE; values from VASP
! Energy of formation from the pure elements ... 0.040 eV per atom
! SG ... P4/mmm
&SYSTEM
  ibrav = 0, nat = 4, ntyp = 3
/
ATOMIC_SPECIES
Pu 244.00 Pu.upf
Cd 112.41 Cd.upf
Lu 174.97 Lu.upf
CELL_PARAMETERS angstrom
-3.324 -2.048 3.462
3.225 -0.034 3.076
-1.185 4.099 1.287
ATOMIC_POSITIONS crystal
Pu 0.000 0.000 0.500
Pu 0.000 0.500 0.000
Cd 0.500 0.500 0.500
Lu 0.500 0.000 0.000

=====

No. 2
! Lu2PuCd, optimized geometry, DFT PBE; values from VASP
! Relative energy among the computed polymorphs ... 0.147 eV per atom
! Energy of formation from the pure elements ... 0.081 eV per atom
! SG ... Fm-3m
&SYSTEM
  ibrav = 0, nat = 4, ntyp = 3
/
ATOMIC_SPECIES
Cd 112.41 Cd.upf
Pu 244.00 Pu.upf
Lu 174.97 Lu.upf
CELL_PARAMETERS angstrom
-4.421 2.932 -0.361
-3.200 -0.523 -4.214
-4.764 -2.295 0.548
ATOMIC_POSITIONS crystal
Cd 0.500 0.500 0.500
Pu 0.000 0.000 0.000
Lu 0.750 0.750 0.750
Lu 0.250 0.250 0.250

=====

No. 3
! Lu2PuCd, optimized geometry, DFT PBE; values from VASP
! Relative energy among the computed polymorphs ... 0.000 eV per atom
! Energy of formation from the pure elements ... -0.067 eV per atom
! SG ... P4/mmm
&SYSTEM
  ibrav = 0, nat = 4, ntyp = 3
/
ATOMIC_SPECIES
Cd 112.41 Cd.upf
Pu 244.00 Pu.upf
Lu 174.97 Lu.upf
CELL_PARAMETERS angstrom
-0.429 3.377 -0.284
-1.366 -0.434 -3.101
-8.261 -0.734 3.740
ATOMIC_POSITIONS crystal
Cd 0.500 0.500 0.000
Pu 0.500 0.500 0.500
Lu 0.000 0.000 0.767
Lu 0.000 0.000 0.233

=====

No. 4
! LuPuCd4, optimized geometry, DFT PBE; values from VASP
! Energy of formation from the pure elements ... -0.095 eV per atom
! SG ... F-43m
&SYSTEM
  ibrav = 0, nat = 6, ntyp = 3
/
ATOMIC_SPECIES
Cd 112.41 Cd.upf
Pu 244.00 Pu.upf
Lu 174.97 Lu.upf
CELL_PARAMETERS angstrom
5.901 0.000 0.000
2.951 5.111 0.000
2.951 1.704 4.819
ATOMIC_POSITIONS crystal
Cd 0.625 0.125 0.625
Pu 0.250 0.250 0.250
Cd 0.625 0.625 0.125
Lu 0.000 0.000 0.000
Cd 0.625 0.625 0.625
Cd 0.125 0.625 0.625

=====

No. 5
! Lu2PuCd, optimized geometry, DFT PBE; values from VASP
! Relative energy among the computed polymorphs ... 0.281 eV per atom
! Energy of formation from the pure elements ... 0.214 eV per atom
! SG ... R-3m
&SYSTEM
  ibrav = 0, nat = 4, ntyp = 3
/
ATOMIC_SPECIES
Lu 174.97 Lu.upf
Pu 244.00 Pu.upf
Cd 112.41 Cd.upf
CELL_PARAMETERS angstrom
-3.013 1.309 -0.667
-1.322 -0.314 -3.064
-6.489 -9.644 1.954
ATOMIC_POSITIONS crystal
Lu 0.906 0.906 0.281
Pu 0.000 0.000 0.000
Cd 0.500 0.500 0.500
Lu 0.094 0.094 0.719

=====

No. 6
! LuPuCdRh, optimized geometry, DFT PBE; values from VASP
! Energy of formation from the pure elements ... -0.296 eV per atom
! SG ... F-43m
&SYSTEM
  ibrav = 0, nat = 4, ntyp = 4
/
ATOMIC_SPECIES
Lu 174.97 Lu.upf
Pu 244.00 Pu.upf
Rh 102.91 Rh.upf
Cd 112.41 Cd.upf
CELL_PARAMETERS angstrom
-4.495 1.930 -1.149
-2.252 -1.270 -4.308
-4.083 -2.928 0.068
ATOMIC_POSITIONS crystal
Lu 0.250 0.250 0.250
Pu 0.750 0.750 0.750
Rh 0.000 0.000 0.000
Cd 0.500 0.500 0.500

=====

No. 7
! LuPuScCd, optimized geometry, DFT PBE; values from VASP
! Energy of formation from the pure elements ... 0.074 eV per atom
! SG ... F-43m
&SYSTEM
  ibrav = 0, nat = 4, ntyp = 4
/
ATOMIC_SPECIES
Pu 244.00 Pu.upf
Cd 112.41 Cd.upf
Sc 44.96 Sc.upf
Lu 174.97 Lu.upf
CELL_PARAMETERS angstrom
-2.511 0.348 4.573
-5.227 -0.012 0.120
-2.562 -4.144 1.898
ATOMIC_POSITIONS crystal
Pu 0.000 0.000 0.000
Cd 0.500 0.500 0.500
Sc 0.750 0.750 0.750
Lu 0.250 0.250 0.250

=====

No. 8
! SmLuPuCd, optimized geometry, DFT PBE; values from VASP
! Energy of formation from the pure elements ... 0.083 eV per atom
! SG ... F-43m
&SYSTEM
  ibrav = 0, nat = 4, ntyp = 4
/
ATOMIC_SPECIES
Cd 112.41 Cd.upf
Pu 244.00 Pu.upf
Sm 150.36 Sm.upf
Lu 174.97 Lu.upf
CELL_PARAMETERS angstrom
5.401 0.000 0.000
2.700 4.677 0.000
2.700 1.559 4.410
ATOMIC_POSITIONS crystal
Cd 0.250 0.250 0.250
Pu 0.750 0.750 0.750
Sm 0.000 0.000 0.000
Lu 0.500 0.500 0.500